Compound: Ta2NbHPd
Source: Alexandria
Functional: GGA-PBE
Structure: optimized geometry

Values from the calculation:
The value obtained for the density of states at the Fermi level is 2.8 states/eV/f.u. The calculation puts the total energy at -8.55 eV/atom.

Unit cell a=4.439 b=4.439 c=3.644 alpha=90.00 beta=90.00 gamma=90.00
Space group P4/mmm (No. 123)
One atom of each set of equivalent atoms:
Ta1 0.000 0.500 0.000 x2
Nb1 0.000 0.000 0.500 x1
H1 0.500 0.500 0.000 x1
Pd1 0.500 0.500 0.500 x1